Entry 1:
The following is a DFT calculation (GGA-PBE) of an optimized crystal structure of YCr2Os.

The raw total energy is -35.4 eV/f.u. The theoretical density is 9.504 Mg/m³. The total moment comes out at 0.00 μB/atom. The density of states at the Fermi level is 1.16 states/eV/atom. The calculated formation energy comes out at 379 meV/atom. The energy above the most stable polymorph in this dataset comes out at 0.086 eV per atom.

Lattice parameters (Å, degrees): 2.868 4.167 5.755 90.00 103.25 90.00
Space group P2/m (No. 10)
One atom of each set of equivalent atoms:
Y (0.000, 0.000, 0.000) [1 per cell]
Cr (0.210, 0.500, 0.671) [2 per cell]
Os (0.500, 0.000, 0.500) [1 per cell]

Entry 2:
The following is a DFT calculation (GGA-PBE) of an optimized crystal structure of YCr2Os.

The raw total energy is -34.6 eV/f.u. The theoretical density is 9.987 Mg/m³. The total moment comes out at 0.00 μB/atom. The density of states at the Fermi level is 0.56 states/eV/atom. The calculated formation energy comes out at 590 meV/atom. The energy above the most stable polymorph in this dataset comes out at 0.297 eV per atom.

Lattice parameters (Å, degrees): 2.8976 2.8976 26.2831 90.00 90.00 120.00
Space group R3m (No. 160, hexagonal axes)
One atom of each set of equivalent atoms:
Y (0.0000, 0.0000, 0.0000) [3 per cell]
Cr (0.0000, 0.0000, 0.2351) [3 per cell]
Cr (0.0000, 0.0000, 0.5072) [3 per cell]
Os (0.0000, 0.0000, 0.7657) [3 per cell]

Entry 3:
The following is a DFT calculation (GGA-PBE) of an optimized crystal structure of YCr2Os.

The raw total energy is -35.5 eV/f.u. The theoretical density is 9.552 Mg/m³. The total moment comes out at 0.15 μB/atom. The density of states at the Fermi level is 0.86 states/eV/atom. The calculated formation energy comes out at 366 meV/atom. The energy above the most stable polymorph in this dataset comes out at 0.073 eV per atom.

Lattice parameters (Å, degrees): 6.435 6.435 6.435 90.00 90.00 90.00
Space group F-43m (No. 216)
One atom of each set of equivalent atoms:
Y (0.000, 0.000, 0.000) [4 per cell]
Cr (0.000, 0.000, 0.500) [4 per cell]
Cr (0.250, 0.250, 0.250) [4 per cell]
Os (0.250, 0.250, 0.750) [4 per cell]

Entry 4:
The following is a DFT calculation (GGA-PBE) of an optimized crystal structure of YCr2Os2.

The raw total energy is -48.3 eV/f.u. The theoretical density is 10.994 Mg/m³. The total moment comes out at 0.12 μB/atom. The density of states at the Fermi level is 1.08 states/eV/atom. The calculated formation energy comes out at -35 meV/atom. The energy above the most stable polymorph in this dataset comes out at 0.000 eV per atom.

Lattice parameters (Å, degrees): 4.131 4.131 10.148 90.00 90.00 90.00
Space group I4/mmm (No. 139)
One atom of each set of equivalent atoms:
Y (0.000, 0.000, 0.000) [2 per cell]
Cr (0.000, 0.500, 0.250) [4 per cell]
Os (0.000, 0.000, 0.374) [4 per cell]

Entry 5:
The following is a DFT calculation (GGA-PBE) of an optimized crystal structure of Y4CrOs.

The raw total energy is -40.4 eV/f.u. The theoretical density is 6.556 Mg/m³. The total moment comes out at 0.64 μB/atom. The density of states at the Fermi level is 1.42 states/eV/atom. The calculated formation energy comes out at 1060 meV/atom.

Lattice parameters (Å, degrees): 8.461 8.461 8.461 90.00 90.00 90.00
Space group F-43m (No. 216)
One atom of each set of equivalent atoms:
Y (0.124, 0.124, 0.376) [16 per cell]
Cr (0.000, 0.000, 0.000) [4 per cell]
Os (0.250, 0.250, 0.750) [4 per cell]

Entry 6:
The following is a DFT calculation (GGA-PBE) of an optimized crystal structure of YCr2Os.

The raw total energy is -34.6 eV/f.u. The theoretical density is 10.234 Mg/m³. The total moment comes out at 0.00 μB/atom. The density of states at the Fermi level is 0.95 states/eV/atom. The calculated formation energy comes out at 585 meV/atom. The energy above the most stable polymorph in this dataset comes out at 0.292 eV per atom.

Lattice parameters (Å, degrees): 5.455 8.623 2.813 90.00 110.00 90.00
Space group C2/m (No. 12)
One atom of each set of equivalent atoms:
Y (0.000, 0.000, 0.000) [2 per cell]
Cr (0.250, 0.250, 0.500) [4 per cell]
Os (0.000, 0.500, 0.000) [2 per cell]

Entry 7:
The following is a DFT calculation (GGA-PBE) of an optimized crystal structure of YCr2Os.

The raw total energy is -35.4 eV/f.u. The theoretical density is 10.427 Mg/m³. The total moment comes out at 0.00 μB/atom. The density of states at the Fermi level is 0.72 states/eV/atom. The calculated formation energy comes out at 394 meV/atom. The energy above the most stable polymorph in this dataset comes out at 0.101 eV per atom.

Lattice parameters (Å, degrees): 6.249 6.249 6.249 90.00 90.00 90.00
Space group Fm-3m (No. 225)
One atom of each set of equivalent atoms:
Y (0.000, 0.000, 0.000) [4 per cell]
Cr (0.250, 0.250, 0.250) [8 per cell]
Os (0.000, 0.000, 0.500) [4 per cell]

Entry 8:
The following is a DFT calculation (GGA-PBE) of an optimized crystal structure of YCr2Os.

The raw total energy is -34.3 eV/f.u. The theoretical density is 8.312 Mg/m³. The total moment comes out at 1.00 μB/atom. The density of states at the Fermi level is 1.52 states/eV/atom. The calculated formation energy comes out at 649 meV/atom. The energy above the most stable polymorph in this dataset comes out at 0.356 eV per atom.

Lattice parameters (Å, degrees): 7.317 7.317 5.718 90.00 90.00 90.00
Space group I-42d (No. 122)
One atom of each set of equivalent atoms:
Y (0.000, 0.000, 0.000) [4 per cell]
Cr (0.185, 0.250, 0.625) [8 per cell]
Os (0.000, 0.000, 0.500) [4 per cell]

Entry 9:
The following is a DFT calculation (GGA-PBE) of an optimized crystal structure of YCr2Os.

The raw total energy is -35.3 eV/f.u. The theoretical density is 9.695 Mg/m³. The total moment comes out at 0.28 μB/atom. The density of states at the Fermi level is 0.67 states/eV/atom. The calculated formation energy comes out at 398 meV/atom. The energy above the most stable polymorph in this dataset comes out at 0.105 eV per atom.

Lattice parameters (Å, degrees): 3.070 4.685 9.124 90.00 90.00 90.00
Space group Imm2 (No. 44)
One atom of each set of equivalent atoms:
Y (0.000, 0.000, 0.000) [2 per cell]
Cr (0.000, 0.000, 0.493) [2 per cell]
Cr (0.000, 0.500, 0.223) [2 per cell]
Os (0.000, 0.500, 0.772) [2 per cell]

Entry 10:
The following is a DFT calculation (GGA-PBE) of an optimized crystal structure of YCr2Os.

The raw total energy is -35.4 eV/f.u. The theoretical density is 9.310 Mg/m³. The total moment comes out at 0.07 μB/atom. The density of states at the Fermi level is 0.93 states/eV/atom. The calculated formation energy comes out at 373 meV/atom. The energy above the most stable polymorph in this dataset comes out at 0.080 eV per atom.

Lattice parameters (Å, degrees): 9.316 3.014 5.130 90.00 108.40 90.00
Space group Cm (No. 8)
One atom of each set of equivalent atoms:
Y (0.000, 0.000, 0.000) [2 per cell]
Cr (0.214, 0.000, 0.668) [2 per cell]
Cr (0.499, 0.000, 0.495) [2 per cell]
Os (0.273, 0.500, 0.324) [2 per cell]

Entry 11:
The following is a DFT calculation (GGA-PBE) of an optimized crystal structure of YCr2Os.

The raw total energy is -35.8 eV/f.u. The theoretical density is 9.902 Mg/m³. The total moment comes out at 0.00 μB/atom. The density of states at the Fermi level is 1.10 states/eV/atom. The calculated formation energy comes out at 293 meV/atom. The energy above the most stable polymorph in this dataset comes out at 0.000 eV per atom.

Lattice parameters (Å, degrees): 3.029 3.029 7.002 90.00 90.00 90.00
Space group P4mm (No. 99)
One atom of each set of equivalent atoms:
Y (0.000, 0.000, 0.000) [1 per cell]
Cr (0.000, 0.000, 0.483) [1 per cell]
Cr (0.500, 0.500, 0.314) [1 per cell]
Os (0.500, 0.500, 0.688) [1 per cell]

Entry 12:
The following is a DFT calculation (GGA-PBE) of an optimized crystal structure of YCr2Os.

The raw total energy is -34.8 eV/f.u. The theoretical density is 10.250 Mg/m³. The total moment comes out at 0.45 μB/atom. The density of states at the Fermi level is 1.21 states/eV/atom. The calculated formation energy comes out at 535 meV/atom. The energy above the most stable polymorph in this dataset comes out at 0.242 eV per atom.

Lattice parameters (Å, degrees): 4.510 4.510 3.051 90.00 90.00 90.00
Space group P4/mmm (No. 123)
One atom of each set of equivalent atoms:
Y (0.000, 0.000, 0.000) [1 per cell]
Cr (0.000, 0.500, 0.500) [2 per cell]
Os (0.500, 0.500, 0.000) [1 per cell]

Entry 13:
The following is a DFT calculation (GGA-PBE) of an optimized crystal structure of YCr2Os.

The raw total energy is -35.4 eV/f.u. The theoretical density is 9.408 Mg/m³. The total moment comes out at 0.12 μB/atom. The density of states at the Fermi level is 0.68 states/eV/atom. The calculated formation energy comes out at 392 meV/atom. The energy above the most stable polymorph in this dataset comes out at 0.099 eV per atom.

Lattice parameters (Å, degrees): 3.263 4.471 4.635 90.00 90.00 90.00
Space group Pmmm (No. 47)
One atom of each set of equivalent atoms:
Y (0.000, 0.000, 0.000) [1 per cell]
Cr (0.000, 0.500, 0.500) [1 per cell]
Cr (0.500, 0.000, 0.500) [1 per cell]
Os (0.500, 0.500, 0.000) [1 per cell]

Entry 14:
The following is a DFT calculation (GGA-PBE) of an optimized crystal structure of Y3CrOs.

The raw total energy is -38.5 eV/f.u. The theoretical density is 5.454 Mg/m³. The total moment comes out at 0.88 μB/atom. The density of states at the Fermi level is 0.58 states/eV/atom. The calculated formation energy comes out at 352 meV/atom. The energy above the most stable polymorph in this dataset comes out at 0.000 eV per atom.

Lattice parameters (Å, degrees): 5.371 5.371 5.371 90.00 90.00 90.00
Space group Pm-3m (No. 221)
One atom of each set of equivalent atoms:
Y (0.000, 0.000, 0.500) [3 per cell]
Cr (0.500, 0.500, 0.500) [1 per cell]
Os (0.000, 0.000, 0.000) [1 per cell]

Entry 15:
The following is a DFT calculation (GGA-PBE) of an optimized crystal structure of YCrOs3.

The raw total energy is -33.1 eV/f.u. The theoretical density is 10.816 Mg/m³. The total moment comes out at 0.03 μB/atom. The density of states at the Fermi level is 2.80 states/eV/atom. The calculated formation energy comes out at 3335 meV/atom. The energy above the most stable polymorph in this dataset comes out at 2.530 eV per atom.

Lattice parameters (Å, degrees): 4.780 4.780 4.780 90.00 90.00 90.00
Space group Pm-3m (No. 221)
One atom of each set of equivalent atoms:
Y (0.000, 0.000, 0.000) [1 per cell]
Cr (0.500, 0.500, 0.500) [1 per cell]
Os (0.000, 0.000, 0.500) [3 per cell]

Entry 16:
The following is a DFT calculation (GGA-PBE) of an optimized crystal structure of YCr2Os.

The raw total energy is -35.5 eV/f.u. The theoretical density is 9.442 Mg/m³. The total moment comes out at 1.01 μB/atom. The density of states at the Fermi level is 0.97 states/eV/atom. The calculated formation energy comes out at 371 meV/atom. The energy above the most stable polymorph in this dataset comes out at 0.078 eV per atom.

Lattice parameters (Å, degrees): 3.016 3.016 7.406 90.00 90.00 90.00
Space group P4/mmm (No. 123)
One atom of each set of equivalent atoms:
Y (0.000, 0.000, 0.000) [1 per cell]
Cr (0.500, 0.500, 0.302) [2 per cell]
Os (0.000, 0.000, 0.500) [1 per cell]

Entry 17:
The following is a DFT calculation (GGA-PBE) of an optimized crystal structure of YCr2Os.

The raw total energy is -35.2 eV/f.u. The theoretical density is 9.159 Mg/m³. The total moment comes out at 0.00 μB/atom. The density of states at the Fermi level is 1.32 states/eV/atom. The calculated formation energy comes out at 436 meV/atom. The energy above the most stable polymorph in this dataset comes out at 0.143 eV per atom.

Lattice parameters (Å, degrees): 2.974 3.855 6.058 90.00 90.00 90.00
Space group Pmmm (No. 47)
One atom of each set of equivalent atoms:
Y (0.000, 0.000, 0.000) [1 per cell]
Cr (0.500, 0.500, 0.337) [2 per cell]
Os (0.000, 0.000, 0.500) [1 per cell]

Entry 18:
The following is a DFT calculation (GGA-PBE) of an optimized crystal structure of YCr2Os.

The raw total energy is -33.9 eV/f.u. The theoretical density is 9.762 Mg/m³. The total moment comes out at 0.40 μB/atom. The density of states at the Fermi level is 1.38 states/eV/atom. The calculated formation energy comes out at 748 meV/atom. The energy above the most stable polymorph in this dataset comes out at 0.455 eV per atom.

Lattice parameters (Å, degrees): 2.9066 2.9066 26.7214 90.00 90.00 120.00
Space group R-3m (No. 166, hexagonal axes)
One atom of each set of equivalent atoms:
Y (0.0000, 0.0000, 0.0000) [3 per cell]
Cr (0.0000, 0.0000, 0.2387) [6 per cell]
Os (0.0000, 0.0000, 0.5000) [3 per cell]

Entry 19:
The following is a DFT calculation (GGA-PBE) of an optimized crystal structure of ZnCr2Os.

The raw total energy is -30.8 eV/f.u. The theoretical density is 11.122 Mg/m³. The total moment comes out at 0.90 μB/atom. The density of states at the Fermi level is 0.64 states/eV/atom. The calculated formation energy comes out at 243 meV/atom.

Lattice parameters (Å, degrees): 4.290 4.290 2.917 90.00 90.00 90.00
Space group P4/mmm (No. 123)
One atom of each set of equivalent atoms:
Zn (0.000, 0.000, 0.000) [1 per cell]
Cr (0.000, 0.500, 0.500) [2 per cell]
Os (0.500, 0.500, 0.000) [1 per cell]

Entry 20:
The following is a DFT calculation (GGA-PBE) of an optimized crystal structure of Zn3CrOs.

The raw total energy is -15.9 eV/f.u. The theoretical density is 8.309 Mg/m³. The total moment comes out at 0.00 μB/atom. The density of states at the Fermi level is 1.77 states/eV/atom. The calculated formation energy comes out at 1763 meV/atom.

Lattice parameters (Å, degrees): 4.442 4.442 4.442 90.00 90.00 90.00
Space group Pm-3m (No. 221)
One atom of each set of equivalent atoms:
Zn (0.000, 0.000, 0.500) [3 per cell]
Cr (0.000, 0.000, 0.000) [1 per cell]
Os (0.500, 0.500, 0.500) [1 per cell]